Record 1
Entry from Alexandria via LeMat-Bulk: a relaxed structure of DyAl3Ni3 (GGA-PBE).

```
data_DyAl3Ni3
_space_group_name_H-M_alt 'P 1'
_space_group_IT_number 1
_space_group_name_Hall 'P 1'
_cell_length_a 6.396
_cell_length_b 6.396
_cell_length_c 6.396
_cell_angle_alpha 90.00
_cell_angle_beta 90.00
_cell_angle_gamma 90.00
loop_
_atom_site_label
_atom_site_type_symbol
_atom_site_fract_x
_atom_site_fract_y
_atom_site_fract_z
_atom_site_occupancy
Dy1 Dy 0.000 0.000 0.000 1
Dy2 Dy 0.500 0.500 0.500 1
Al1 Al 0.000 0.250 0.500 1
Al2 Al 0.000 0.750 0.500 1
Al3 Al 0.250 0.500 0.000 1
Al4 Al 0.500 0.000 0.250 1
Al5 Al 0.500 0.000 0.750 1
Al6 Al 0.750 0.500 0.000 1
Ni1 Ni 0.000 0.500 0.250 1
Ni2 Ni 0.000 0.500 0.750 1
Ni3 Ni 0.250 0.000 0.500 1
Ni4 Ni 0.500 0.250 0.000 1
Ni5 Ni 0.500 0.750 0.000 1
Ni6 Ni 0.750 0.000 0.500 1
```

Density of states at the Fermi level = 5.70 states/eV/f.u.
Space group = No. 223
Crystal system = cubic


Record 2
Entry from Alexandria via LeMat-Bulk: a relaxed structure of DyAl2Ni9 (GGA-PBE).

```
data_DyAl2Ni9
_space_group_name_H-M_alt 'P 1'
_space_group_IT_number 1
_space_group_name_Hall 'P 1'
_cell_length_a 8.175
_cell_length_b 8.175
_cell_length_c 8.175
_cell_angle_alpha 34.19
_cell_angle_beta 34.19
_cell_angle_gamma 34.19
loop_
_atom_site_label
_atom_site_type_symbol
_atom_site_fract_x
_atom_site_fract_y
_atom_site_fract_z
_atom_site_occupancy
Dy1 Dy 0.000 0.000 0.000 1
Al1 Al 0.144 0.144 0.144 1
Al2 Al 0.856 0.856 0.856 1
Ni1 Ni 0.081 0.591 0.591 1
Ni2 Ni 0.334 0.334 0.334 1
Ni3 Ni 0.409 0.409 0.919 1
Ni4 Ni 0.409 0.919 0.409 1
Ni5 Ni 0.500 0.500 0.500 1
Ni6 Ni 0.591 0.081 0.591 1
Ni7 Ni 0.591 0.591 0.081 1
Ni8 Ni 0.666 0.666 0.666 1
Ni9 Ni 0.919 0.409 0.409 1
```

Density of states at the Fermi level = 16.83 states/eV/f.u.
Space group = No. 166
Crystal system = trigonal
E above lowest polymorph = 54.3 meV per atom


| no. | uncorrected energy (eV/atom) | magnetic moment (μB/atom) |
| --- | --- | --- |
| 1 | -4.76 | 0.000 |
| 2 | -5.66 | 0.000 |